No. 1
Below is YThMn after structural relaxation, with properties calculated at the PBE-GGA level.

Computed properties:
Magnetization, μB per cell: 1.91
Volume, Å³/atom: 25.7
Space-group type: P2_1/c, No. 14
Energy of formation from the pure elements, kJ/mol of formula units: 44
ΔE to the lowest computed polymorph, meV per atom: 0.0

Lattice parameters (Å, degrees): 6.861 6.620 8.194 90.00 124.17 90.00
Atoms (fractional coordinates):
Y1 0.179 0.168 0.409
Y2 0.179 0.332 0.909
Y3 0.821 0.668 0.091
Y4 0.821 0.832 0.591
Th1 0.322 0.674 0.615
Th2 0.322 0.826 0.115
Th3 0.678 0.174 0.885
Th4 0.678 0.326 0.385
Mn1 0.331 0.543 0.312
Mn2 0.331 0.957 0.812
Mn3 0.669 0.043 0.188
Mn4 0.669 0.457 0.688

No. 2
Below is BeCdO2 after structural relaxation, with properties calculated at the PBE-GGA level.

Computed properties:
Magnetization, μB per cell: 0.00
Volume, Å³/atom: 10.1
Space-group type: Fm-3m, No. 225
Uncorrected energy, eV/atom: -4.136

Lattice parameters (Å, degrees): 3.856 3.856 3.856 60.00 60.00 60.00
Atoms (fractional coordinates):
Be1 0.000 0.000 0.000
Cd1 0.500 0.500 0.500
O1 0.250 0.250 0.250
O2 0.750 0.750 0.750

No. 3
Below is Sr3CeZn4 after structural relaxation, with properties calculated at the PBE-GGA level.

Computed properties:
Magnetization, μB per cell: 0.89
Volume, Å³/atom: 28.1
Space-group type: P4/mmm, No. 123
Energy of formation from the pure elements, kJ/mol of formula units: -134

Lattice parameters (Å, degrees): 3.802 3.802 15.543 90.00 90.00 90.00
Atoms (fractional coordinates):
Sr1 0.000 0.000 0.000
Sr2 0.000 0.000 0.258
Sr3 0.000 0.000 0.742
Ce1 0.000 0.000 0.500
Zn1 0.500 0.500 0.128
Zn2 0.500 0.500 0.394
Zn3 0.500 0.500 0.606
Zn4 0.500 0.500 0.872

No. 4
Below is Zr4Ta3 after structural relaxation, with properties calculated at the PBE-GGA level.

Computed properties:
Magnetization, μB per cell: 0.00
Volume, Å³/atom: 21.1
Space-group type: P6/mmm, No. 191
Energy of formation from the pure elements, kJ/mol of formula units: 63
ΔE to the lowest computed polymorph, meV per atom: 0.0

Lattice parameters (Å, degrees): 5.470 5.470 5.703 90.00 90.00 120.00
Atoms (fractional coordinates):
Zr1 0.000 0.000 0.236
Zr2 0.000 0.000 0.764
Zr3 0.333 0.667 0.000
Zr4 0.667 0.333 0.000
Ta1 0.000 0.500 0.500
Ta2 0.500 0.000 0.500
Ta3 0.500 0.500 0.500

No. 5
Below is SbH2Au after structural relaxation, with properties calculated at the PBE-GGA level.

Computed properties:
Magnetization, μB per cell: 0.00
Volume, Å³/atom: 13.0
Space-group type: Fm-3m, No. 225
ΔE to the lowest computed polymorph, meV per atom: 747.6

Lattice parameters (Å, degrees): 4.185 4.185 4.185 60.00 60.00 60.00
Atoms (fractional coordinates):
Sb1 0.000 0.000 0.000
H1 0.250 0.250 0.250
H2 0.750 0.750 0.750
Au1 0.500 0.500 0.500

No. 6
Below is YBiS2N after structural relaxation, with properties calculated at the PBE-GGA level.

Computed properties:
Magnetization, μB per cell: 0.00
Volume, Å³/atom: 22.8
Space-group type: P4/mmm, No. 123
ΔE to the lowest computed polymorph, meV per atom: 128.3

Lattice parameters (Å, degrees): 5.190 5.190 4.230 90.00 90.00 90.00
Atoms (fractional coordinates):
Y1 0.000 0.000 0.000
Bi1 0.500 0.500 0.500
S1 0.000 0.500 0.500
S2 0.500 0.000 0.500
N1 0.500 0.500 0.000